Model a:
Here is a relaxed structure of TiPIrPtCl from the Alexandria database. Energies are from PBE.

The structure belongs to space group Pm (No. 6); the cell edges are 5.4447, 3.2541 and 6.4435 Å and the angles 90.00°, 102.57° and 90.00°. The asymmetric unit holds Ti at (0.0000, 0.0000, 0.0000), P at (0.5860, 0.0000, 0.1014), Ir at (0.8789, 0.5000, 0.2659), Pt at (0.3508, 0.5000, 0.2360) and Cl at (0.9261, 0.5000, 0.7056).

---

Model b:
Here is a relaxed structure of TiPIrPtCl from the Alexandria database. Energies are from PBE.

The structure belongs to space group Pm (No. 6); the cell edges are 2.9137, 3.3679 and 9.8009 Å and the angles 90.00°, 98.06° and 90.00°. The asymmetric unit holds Ti at (0.0000, 0.0000, 0.0000), P at (0.2898, 0.5000, 0.5538), Ir at (0.8390, 0.0000, 0.6582), Pt at (0.4339, 0.5000, 0.8597) and Cl at (0.5911, 0.0000, 0.1929).

---

Model c:
Here is a relaxed structure of TiPIrPtCl from the Alexandria database. Energies are from PBE.

The structure belongs to space group P1 (No. 1); the cell edges are 2.9264, 4.3623 and 8.9038 Å and the angles 83.16°, 84.49° and 70.52°. The asymmetric unit holds Ti at (0.0000, 0.0000, 0.0000), P at (0.0901, 0.6004, 0.3592), Ir at (0.3869, 0.0282, 0.3261), Pt at (0.7046, 0.5095, 0.1282) and Cl at (0.5198, 0.0824, 0.7907).

---

Which is more stable than every other structure shown? model b is more stable than every other one.